Below is an optimized crystal structure of CoPtPb2, with properties calculated at the GGA-PBE level.

Calculated values
D(E_F): 1.369 states/eV/atom
final energy: -4.6185 eV per atom

abc: 6.9177 6.9177 6.9177
angles: 90.00 90.00 90.00
Closest atoms and distances in Å follow each position.
Space group F-43m (No. 216)
Symmetry-distinct sites (fractional):
Co (0.0000, 0.0000, 0.0000) [4 per cell]  4 Pb 3.00, 4 Pt 3.00
Pt (0.2500, 0.2500, 0.7500) [4 per cell]  4 Pb 3.00, 4 Co 3.00
Pb (0.0000, 0.0000, 0.5000) [4 per cell]  4 Pb 3.00, 4 Pt 3.00
Pb (0.2500, 0.2500, 0.2500) [4 per cell]  4 Pb 3.00, 4 Co 3.00